# 1
Hf3ReOs, optimized geometry, DFT PBEsol; total moment = 0.0 μB/cell; DFT total energy = -51.0 eV/cell
1.0
-0.994 -4.129 2.335
4.446 0.022 1.930
-1.654 2.538 3.783
Re Hf Os
1 3 1
direct
0.000 0.000 0.000
0.000 0.500 0.000
0.000 0.000 0.500
0.500 0.000 0.000
0.500 0.500 0.500

***

# 2
HfRe2TcOs, optimized geometry, DFT PBEsol; total moment = 1.5 μB/cell; DFT total energy = -50.9 eV/cell
1.0
-1.245 4.432 -0.406
-2.465 -0.336 3.895
3.858 1.318 2.555
Re Hf Os Tc
2 1 1 1
direct
0.000 0.500 0.000
0.500 0.000 0.000
0.000 0.000 0.500
0.000 0.000 0.000
0.500 0.500 0.500

***

# 3
Hf2OsRh, optimized geometry, DFT PBEsol; total moment = 0.0 μB/cell; DFT total energy = -44.5 eV/cell
1.0
-3.123 1.307 -3.048
-4.058 -2.066 -0.133
-3.733 2.221 1.373
Hf Os Rh
2 1 1
direct
0.250 0.250 0.250
0.750 0.750 0.750
0.500 0.500 0.500
0.000 0.000 0.000

***

# 4
HfOs2RhSe, optimized geometry, DFT PBEsol; total moment = 0.0 μB/cell; ΔE_f (raw) = 1587 meV/atom
1.0
-4.571 -0.066 0.747
0.300 -4.391 1.446
0.714 1.531 4.503
Hf Os Se Rh
1 2 1 1
direct
0.000 0.000 0.500
0.000 0.500 0.000
0.500 0.000 0.000
0.500 0.500 0.500
0.000 0.000 0.000